V2ZnGaH | PBE | optimized geometry

The total moment is 0.000 μB/cell. The calculation puts the raw total energy at -5.2377 eV/atom.

abc: 3.743 3.743 4.119
angles: 90.00 90.00 90.00
Positions (direct):
V 0.000 0.500 0.000
V 0.500 0.000 0.000
Zn 0.000 0.000 0.500
Ga 0.500 0.500 0.500
H 0.000 0.000 0.000


Pm6Co2Ru | PBE | optimized geometry

The total moment is 0.002 μB/cell. Its energy of formation is -0.10 eV/atom.

abc: 8.378 8.378 8.378
angles: 109.87 109.77 108.78
Positions (direct):
Pm 0.010 0.828 0.182
Pm 0.257 0.325 0.583
Pm 0.257 0.675 0.932
Pm 0.265 0.582 0.316
Pm 0.265 0.949 0.684
Pm 0.355 0.172 0.182
Pm 0.645 0.828 0.818
Pm 0.735 0.051 0.316
Pm 0.735 0.418 0.684
Pm 0.743 0.325 0.068
Pm 0.743 0.675 0.417
Pm 0.990 0.172 0.818
Co 0.000 0.170 0.170
Co 0.000 0.830 0.830
Co 0.388 0.388 0.000
Co 0.612 0.612 0.000
Ru 0.000 0.500 0.500
Ru 0.500 0.000 0.500


ErLu2 | PBE | optimized geometry

The total moment is 0.002 μB/cell. Its energy of formation is 0.03 eV/atom.

abc: 7.784 7.784 7.784
angles: 154.32 154.32 36.63
Positions (direct):
Er 0.000 0.000 0.000
Lu 0.333 0.333 0.000
Lu 0.667 0.667 0.000


PrNd2ScBi5 | PBE | optimized geometry

The total moment is 0.000 μB/cell. Its energy of formation is 0.04 eV/atom.

abc: 5.715 5.715 11.464
angles: 90.00 90.00 90.00
Positions (direct):
Pr 0.000 0.000 0.000
Nd 0.500 0.500 0.200
Nd 0.500 0.500 0.800
Sc 0.000 0.000 0.500
Bi 0.000 0.000 0.263
Bi 0.000 0.000 0.737
Bi 0.000 0.500 0.000
Bi 0.500 0.000 0.000
Bi 0.500 0.500 0.500


AcNdCdSi | PBE | optimized geometry

Its raw formation energy is -0.3156 eV per atom. The total moment is 0.000 μB/cell.

abc: 5.439 5.439 5.439
angles: 60.00 60.00 60.00
Positions (direct):
Ac 0.000 0.000 0.000
Nd 0.500 0.500 0.500
Cd 0.750 0.750 0.750
Si 0.250 0.250 0.250


CsAl3Re | PBE | optimized geometry

The total moment is 3.728 μB/cell. Its energy of formation is 2.83 eV/atom.

abc: 5.666 5.666 5.666
angles: 90.00 90.00 90.00
Positions (direct):
Cs 0.000 0.000 0.000
Al 0.000 0.000 0.500
Al 0.000 0.500 0.000
Al 0.500 0.000 0.000
Re 0.500 0.500 0.500


Er2ZrPaAs4 | PBE | optimized geometry

The total moment is 0.000 μB/cell. Its energy of formation is -1.29 eV/atom.

abc: 6.945 4.030 7.000
angles: 90.00 109.33 90.00
Positions (direct):
Er 0.000 0.000 0.000
Er 0.500 0.500 0.000
Zr 0.000 0.500 0.500
Pa 0.500 0.000 0.500
As 0.243 0.000 0.742
As 0.245 0.500 0.252
As 0.755 0.500 0.748
As 0.757 0.000 0.258


CuSeBr2 | PBE | optimized geometry

Its raw formation energy is 0.1954 eV per atom. The total moment is 0.011 μB/cell.

abc: 5.945 5.945 5.945
angles: 146.63 96.77 92.69
Positions (direct):
Cu 0.000 0.000 0.000
Se 0.500 0.500 0.000
Br 0.209 0.709 0.500
Br 0.791 0.291 0.500


TlSbC2 | PBE | optimized geometry

Its raw formation energy is 2.3778 eV per atom. The total moment is 0.000 μB/cell.

abc: 4.480 4.480 4.480
angles: 60.00 60.00 60.00
Positions (direct):
Tl 0.000 0.000 0.000
Sb 0.500 0.500 0.500
C 0.250 0.250 0.250
C 0.750 0.750 0.750


Gd2NiPb | PBE | optimized geometry

The total moment is 14.426 μB/cell. Its energy of formation is -0.31 eV/atom.

abc: 5.194 5.194 5.194
angles: 60.00 60.00 60.00
Positions (direct):
Gd 0.250 0.250 0.250
Gd 0.750 0.750 0.750
Ni 0.000 0.000 0.000
Pb 0.500 0.500 0.500


Pm2Pr2Y15 | PBE | optimized geometry

The total moment is 0.000 μB/cell. Its energy of formation is 0.29 eV/atom.

abc: 8.817 8.817 8.817
angles: 80.12 80.12 80.12
Positions (direct):
Pm 0.170 0.170 0.170
Pm 0.830 0.830 0.830
Pr 0.383 0.383 0.383
Pr 0.617 0.617 0.617
Y 0.000 0.500 0.500
Y 0.131 0.131 0.653
Y 0.131 0.653 0.131
Y 0.199 0.500 0.801
Y 0.199 0.801 0.500
Y 0.347 0.869 0.869
Y 0.500 0.000 0.500
Y 0.500 0.199 0.801
Y 0.500 0.500 0.000
Y 0.500 0.801 0.199
Y 0.653 0.131 0.131
Y 0.801 0.199 0.500
Y 0.801 0.500 0.199
Y 0.869 0.347 0.869
Y 0.869 0.869 0.347


Ta2HgOs | PBE | optimized geometry

The total moment is 0.000 μB/cell. Its energy of formation is 0.27 eV/atom.

abc: 2.877 2.877 9.328
angles: 90.00 90.00 111.13
Positions (direct):
Ta 0.000 0.000 0.000
Ta 0.500 0.500 0.248
Hg 0.500 0.500 0.731
Os 0.000 0.000 0.467


HfMnIr | PBE | optimized geometry

The total moment is 7.110 μB/cell. Its energy of formation is -0.48 eV/atom.

abc: 7.024 7.024 4.362
angles: 90.00 90.00 152.48
Positions (direct):
Hf 0.090 0.910 0.750
Hf 0.910 0.090 0.250
Mn 0.238 0.762 0.250
Mn 0.762 0.238 0.750
Ir 0.420 0.580 0.750
Ir 0.580 0.420 0.250


SiNiAg2 | PBE | optimized geometry

Its raw formation energy is 0.0911 eV per atom. The total moment is 0.000 μB/cell.

abc: 4.060 4.060 6.044
angles: 98.04 98.04 40.40
Positions (direct):
Si 0.000 0.000 0.000
Ni 0.270 0.270 0.879
Ag 0.516 0.516 0.595
Ag 0.749 0.749 0.281


SiB | PBE | optimized geometry

Its raw formation energy is 0.2163 eV per atom. The total moment is 0.000 μB/cell.

abc: 3.442 3.442 5.220
angles: 103.64 103.64 51.80
Positions (direct):
Si 0.013 0.013 0.233
Si 0.987 0.987 0.767
B 0.255 0.255 0.606
B 0.745 0.745 0.394


Ga3Si23 | PBE | optimized geometry

Its raw formation energy is 0.1338 eV per atom. The total moment is 0.000 μB/cell.

abc: 10.184 10.184 10.184
angles: 90.00 90.00 90.00
Positions (direct):
Ga 0.000 0.250 0.500
Ga 0.000 0.750 0.500
Ga 0.250 0.500 0.000
Ga 0.500 0.000 0.250
Ga 0.500 0.000 0.750
Ga 0.750 0.500 0.000
Si 0.000 0.308 0.117
Si 0.000 0.308 0.883
Si 0.000 0.500 0.250
Si 0.000 0.500 0.750
Si 0.000 0.692 0.117
Si 0.000 0.692 0.883
Si 0.117 0.000 0.308
Si 0.117 0.000 0.692
Si 0.184 0.184 0.184
Si 0.184 0.184 0.816
Si 0.184 0.816 0.184
Si 0.184 0.816 0.816
Si 0.192 0.500 0.383
Si 0.192 0.500 0.617
Si 0.250 0.000 0.500
Si 0.308 0.117 0.000
Si 0.308 0.883 0.000
Si 0.316 0.316 0.316
Si 0.316 0.316 0.684
Si 0.316 0.684 0.316
Si 0.316 0.684 0.684
Si 0.383 0.192 0.500
Si 0.383 0.808 0.500
Si 0.500 0.250 0.000
Si 0.500 0.383 0.192
Si 0.500 0.383 0.808
Si 0.500 0.617 0.192
Si 0.500 0.617 0.808
Si 0.500 0.750 0.000
Si 0.617 0.192 0.500
Si 0.617 0.808 0.500
Si 0.684 0.316 0.316
Si 0.684 0.316 0.684
Si 0.684 0.684 0.316
Si 0.684 0.684 0.684
Si 0.692 0.117 0.000
Si 0.692 0.883 0.000
Si 0.750 0.000 0.500
Si 0.808 0.500 0.383
Si 0.808 0.500 0.617
Si 0.816 0.184 0.184
Si 0.816 0.184 0.816
Si 0.816 0.816 0.184
Si 0.816 0.816 0.816
Si 0.883 0.000 0.308
Si 0.883 0.000 0.692


BeCr2Cd | PBE | optimized geometry

The total moment is 0.103 μB/cell. Its energy of formation is 0.43 eV/atom.

abc: 3.167 3.918 4.394
angles: 90.00 90.00 90.00
Positions (direct):
Be 0.000 0.000 0.000
Cr 0.000 0.500 0.500
Cr 0.500 0.000 0.500
Cd 0.500 0.500 0.000


MnBeTe4 | PBE | optimized geometry

Its raw formation energy is 1.0054 eV per atom. The total moment is 5.247 μB/cell.

abc: 6.312 6.312 6.312
angles: 60.00 60.00 60.00
Positions (direct):
Mn 0.000 0.000 0.000
Be 0.250 0.250 0.250
Te 0.125 0.625 0.625
Te 0.625 0.125 0.625
Te 0.625 0.625 0.125
Te 0.625 0.625 0.625


MnCuSiP | PBE | optimized geometry

Its raw formation energy is -0.1574 eV per atom. The total moment is 0.000 μB/cell.

abc: 6.775 6.775 6.775
angles: 156.16 156.16 33.96
Positions (direct):
Mn 0.000 0.000 0.000
Cu 0.226 0.226 0.000
Si 0.611 0.611 0.000
P 0.404 0.404 0.000


CoMoSe2 | PBE | optimized geometry

Its raw formation energy is 0.0957 eV per atom. The total moment is 1.133 μB/cell.

abc: 3.181 3.156 6.205
angles: 90.00 97.62 90.00
Positions (direct):
Co 0.000 0.000 0.000
Mo 0.000 0.000 0.500
Se 0.416 0.500 0.253
Se 0.584 0.500 0.747


| no. | V (Å³/cell) |
| --- | --- |
| 1 | 57.7 |
| 2 | 452.6 |
| 3 | 88.4 |
| 4 | 374.4 |
| 5 | 113.8 |
| 6 | 181.9 |
| 7 | 184.9 |
| 8 | 110.6 |
| 9 | 63.6 |
| 10 | 99.1 |
| 11 | 658.1 |
| 12 | 72.0 |
| 13 | 99.4 |
| 14 | 63.8 |
| 15 | 46.9 |
| 16 | 1056.1 |
| 17 | 54.5 |
| 18 | 177.8 |
| 19 | 50.7 |
| 20 | 61.7 |